1.
Computed, not measured: an optimized crystal structure of Ca2La5Pr2 at the PBE level of DFT.

Cell lengths 20.511, 3.602, 9.297 Å; angles 90.00, 96.58, 90.00 degrees
Space group C2/m (No. 12)
Inequivalent atoms, fractional coordinates:
Ca (0.171, 0.000, 0.492)
La (0.000, 0.000, 0.500)
La (0.061, 0.000, 0.147)
La (0.224, 0.500, 0.147)
Pr (0.104, 0.500, 0.817)

Formation energy from the elements (eV/atom): 0.102

=====

2.
Computed, not measured: an optimized crystal structure of Ca2La4Pr at the PBE level of DFT.

Cell lengths 5.635, 25.915, 3.642 Å; angles 90.00, 90.00, 90.00 degrees
Space group Cmmm (No. 65)
Inequivalent atoms, fractional coordinates:
Ca (0.000, 0.211, 0.000)
La (0.000, 0.071, 0.000)
La (0.000, 0.362, 0.500)
Pr (0.000, 0.500, 0.500)

Energy above the most stable polymorph in this dataset (meV per atom): 0
Formation energy from the elements (eV/atom): 0.062

=====

3.
Computed, not measured: an optimized crystal structure of Ca2La2Pr7 at the PBE level of DFT.

Cell lengths 12.018, 11.822, 6.303 Å; angles 90.00, 113.11, 90.00 degrees
Space group C2/m (No. 12)
Inequivalent atoms, fractional coordinates:
Ca (0.000, 0.218, 0.000)
La (0.237, 0.000, 0.098)
Pr (0.000, 0.000, 0.500)
Pr (0.079, 0.500, 0.310)
Pr (0.178, 0.230, 0.672)

Formation energy from the elements (eV/atom): 0.155

=====

4.
Computed, not measured: an optimized crystal structure of CaLa5Pr5 at the PBE level of DFT.

Cell lengths 6.4060, 6.4060, 11.5154 Å; angles 90.00, 90.00, 120.00 degrees
Space group P-6m2 (No. 187)
Inequivalent atoms, fractional coordinates:
Ca (0.0000, 0.0000, 0.0000)
La (0.0129, 0.5064, 0.5000)
La (0.6667, 0.3333, 0.2669)
Pr (0.0000, 0.0000, 0.3182)
Pr (0.3333, 0.6667, 0.1729)
Pr (0.6667, 0.3333, 0.0000)

Formation energy from the elements (eV/atom): 0.235

=====

5.
Computed, not measured: an optimized crystal structure of CaLa4Pr6 at the PBE level of DFT.

Cell lengths 6.912, 6.912, 17.367 Å; angles 90.00, 90.00, 90.00 degrees
Space group I-42m (No. 121)
Inequivalent atoms, fractional coordinates:
Ca (0.000, 0.000, 0.000)
La (0.180, 0.180, 0.186)
Pr (0.000, 0.500, 0.000)
Pr (0.160, 0.160, 0.383)

Energy above the most stable polymorph in this dataset (meV per atom): 0
Formation energy from the elements (eV/atom): 0.277

=====

6.
Computed, not measured: an optimized crystal structure of Ca2La6Pr at the PBE level of DFT.

Cell lengths 17.172, 11.228, 3.626 Å; angles 90.00, 102.13, 90.00 degrees
Space group C2/m (No. 12)
Inequivalent atoms, fractional coordinates:
Ca (0.152, 0.000, 0.152)
La (0.000, 0.205, 0.500)
La (0.175, 0.330, 0.175)
Pr (0.000, 0.500, 0.000)

Formation energy from the elements (eV/atom): 0.105

=====

7.
Computed, not measured: an optimized crystal structure of Ca2LaPr4 at the PBE level of DFT.

Cell lengths 5.601, 25.724, 3.639 Å; angles 90.00, 90.00, 90.00 degrees
Space group Cmmm (No. 65)
Inequivalent atoms, fractional coordinates:
Ca (0.000, 0.212, 0.000)
La (0.000, 0.500, 0.500)
Pr (0.000, 0.071, 0.000)
Pr (0.000, 0.359, 0.500)

Energy above the most stable polymorph in this dataset (meV per atom): 0
Formation energy from the elements (eV/atom): 0.064

=====

8.
Computed, not measured: an optimized crystal structure of CaLa3Pr at the PBE level of DFT.

Cell lengths 18.831, 5.788, 7.422 Å; angles 90.00, 112.46, 90.00 degrees
Space group C2/m (No. 12)
Inequivalent atoms, fractional coordinates:
Ca (0.107, 0.000, 0.107)
La (0.003, 0.500, 0.267)
La (0.103, 0.000, 0.607)
La (0.205, 0.500, 0.450)
Pr (0.200, 0.500, 0.949)

Energy above the most stable polymorph in this dataset (meV per atom): 0
Formation energy from the elements (eV/atom): 0.068